Below is a geometry-optimized ZrWI3 structure, with properties calculated at the GGA-PBE level.

```
ZrWI3
1.0
5.733 0.000 0.000
0.000 5.733 0.000
0.000 0.000 5.733
Zr W I
1 1 3
direct
0.000 0.000 0.000 Zr
0.500 0.500 0.500 W
0.000 0.000 0.500 I
0.000 0.500 0.000 I
0.500 0.000 0.000 I
```

## Properties
As for the size of the total moment: 5.999 Bohr magnetons per cell. As for the formation energy from raw total energies: 0.9900 eV per atom. Its space group is No. 221. The calculation puts the energy relative to the lowest polymorph listed for this composition at 0.0 kJ/mol of atoms.